A plane-wave DFT calculation with GGA-PBEsol was carried out for a relaxed Mg2BeSe crystal.

The space group is Fm-3m (No. 225) and the conventional cell measures 6.6355, 6.6355 and 6.6355 Å, with angles of 90.00, 90.00 and 90.00 degrees. The distinct sites, in fractional coordinates, are Mg at (0.2500, 0.2500, 0.2500), Be at (0.0000, 0.0000, 0.0000) and Se at (0.0000, 0.0000, 0.5000).

The calculation puts the total energy at -2.657 eV per atom. For the density of states at the Fermi level, the calculation gives 8.60 states/eV per cell.